## LaCe2ThP4 (PBE)

Data for a relaxed structure of LaCe2ThP4.

ΔH_f (0 K): -1539.0 meV per atom
total DFT energy (no corrections): -58.2 eV per formula unit
calculated density: 6.36 Mg/m³
SG: P2/m, No. 10
total magnetization: 1.21 μB per cell

Lattice parameters (Å, degrees): 4.1504 7.1887 7.1920 70.54 90.00 90.00
Closest atoms and distances in Å follow each position.
Atoms (fractional coordinates):
La: 0.5000 0.5000 0.0000  6 P 2.98
Ce: 0.0000 0.0000 0.0000  6 P 2.93
Ce: 0.5000 0.0000 0.5000  6 P 2.89
Th: 0.0000 0.5000 0.5000  6 P 2.94
P: 0.0000 0.7585 0.7420  3 Ce 2.89-2.93, 1 Th 2.94, 2 La 2.98
P: 0.0000 0.2415 0.2580  3 Ce 2.89-2.93, 1 Th 2.94, 2 La 2.98
P: 0.5000 0.7547 0.2530  3 Ce 2.89-2.93, 2 Th 2.94, 1 La 2.98
P: 0.5000 0.2453 0.7470  3 Ce 2.89-2.93, 2 Th 2.94, 1 La 2.98

## La2CeTh3P6 (PBE)

Data for a relaxed structure of La2CeTh3P6.

ΔH_f (0 K): -1565.7 meV per atom
total DFT energy (no corrections): -89.3 eV per formula unit
calculated density: 6.97 Mg/m³
SG: C2/m, No. 12
total magnetization: 0.68 μB per cell

Lattice parameters (Å, degrees): 7.2344 7.2344 7.2396 99.59 99.59 119.98
Closest atoms and distances in Å follow each position.
Atoms (fractional coordinates):
La: 0.3336 0.6664 0.0000  6 P 2.99-3.00
La: 0.6664 0.3336 0.0000  6 P 2.99-3.00
Ce: 0.0000 0.0000 0.0000  6 P 2.94-2.95
Th: 0.1678 0.8322 0.5000  6 P 2.92-2.96
Th: 0.8322 0.1678 0.5000  6 P 2.92-2.96
Th: 0.5000 0.5000 0.5000  6 P 2.92-2.97
P: 0.9148 0.5874 0.7444  3 Th 2.92-2.96, 1 Ce 2.94, 2 La 2.99-3.00
P: 0.7582 0.7582 0.2564  3 Th 2.92-2.97, 1 Ce 2.95, 2 La 3.00
P: 0.0852 0.4126 0.2556  3 Th 2.92-2.96, 1 Ce 2.94, 2 La 2.99-3.00
P: 0.5874 0.9148 0.7444  3 Th 2.92-2.96, 1 Ce 2.94, 2 La 2.99-3.00
P: 0.2418 0.2418 0.7436  3 Th 2.92-2.97, 1 Ce 2.95, 2 La 3.00
P: 0.4126 0.0852 0.2556  3 Th 2.92-2.96, 1 Ce 2.94, 2 La 2.99-3.00

## LaCeTh2P4 (PBE)

Data for a relaxed structure of LaCeTh2P4.

ΔH_f (0 K): -1556.6 meV per atom
total DFT energy (no corrections): -59.8 eV per formula unit
calculated density: 7.04 Mg/m³
SG: P2/m, No. 10
total magnetization: 0.59 μB per cell

Lattice parameters (Å, degrees): 4.1631 7.2152 7.2149 70.56 90.00 90.00
Closest atoms and distances in Å follow each position.
Atoms (fractional coordinates):
La: 0.0000 0.5000 0.5000  6 P 2.98
Ce: 0.5000 0.5000 0.0000  6 P 2.94
Th: 0.0000 0.0000 0.0000  6 P 2.91
Th: 0.5000 0.0000 0.5000  6 P 2.95
P: 0.0000 0.7519 0.7536  3 Th 2.91-2.95, 2 Ce 2.94, 1 La 2.98
P: 0.0000 0.2481 0.2464  3 Th 2.91-2.95, 2 Ce 2.94, 1 La 2.98
P: 0.5000 0.7557 0.2435  3 Th 2.91-2.95, 1 Ce 2.94, 2 La 2.98
P: 0.5000 0.2443 0.7565  3 Th 2.91-2.95, 1 Ce 2.94, 2 La 2.98

## LaCe3Th4P8 (PBE)

Data for a relaxed structure of LaCe3Th4P8.

ΔH_f (0 K): -1546.5 meV per atom
total DFT energy (no corrections): -120.4 eV per formula unit
calculated density: 7.17 Mg/m³
SG: R-3m, No. 166
total magnetization: 0.51 μB per cell

Lattice parameters (Å, degrees): 8.2892 8.2810 8.2901 120.05 120.00 90.00
Closest atoms and distances in Å follow each position.
Atoms (fractional coordinates):
La: 0.0000 0.5000 0.0000  6 P 2.96
Ce: 0.5000 0.5000 0.0000  6 P 2.92
Ce: 0.5000 0.5000 0.5000  6 P 2.92
Ce: 0.0000 0.5000 0.5000  6 P 2.92
Th: 0.5000 0.0000 0.0000  6 P 2.90
Th: 0.5000 0.0000 0.5000  6 P 2.94
Th: 0.0000 0.0000 0.0000  6 P 2.94
Th: 0.0000 0.0000 0.5000  6 P 2.94
P: 0.2527 0.7511 0.9984  3 Th 2.90-2.94, 2 Ce 2.92, 1 La 2.96
P: 0.2527 0.7511 0.5053  3 Th 2.90-2.94, 2 Ce 2.92, 1 La 2.96
P: 0.2509 0.2525 0.5017  3 Ce 2.92, 3 Th 2.94
P: 0.7457 0.7511 0.9984  3 Th 2.90-2.94, 2 Ce 2.92, 1 La 2.96
P: 0.2543 0.2489 0.0016  3 Th 2.90-2.94, 2 Ce 2.92, 1 La 2.96
P: 0.7491 0.7475 0.4983  3 Ce 2.92, 3 Th 2.94
P: 0.7473 0.2489 0.4947  3 Th 2.90-2.94, 2 Ce 2.92, 1 La 2.96
P: 0.7473 0.2489 0.0016  3 Th 2.90-2.94, 2 Ce 2.92, 1 La 2.96

## La2Ce3ThP6 (PBE)

Data for a relaxed structure of La2Ce3ThP6.

ΔH_f (0 K): -1537.4 meV per atom
total DFT energy (no corrections): -86.0 eV per formula unit
calculated density: 6.06 Mg/m³
SG: C2/m, No. 12
total magnetization: 1.71 μB per cell

Lattice parameters (Å, degrees): 4.1574 8.3273 9.3060 102.98 102.91 90.00
Closest atoms and distances in Å follow each position.
Atoms (fractional coordinates):
La: 0.8335 0.6662 0.6671  6 P 2.99-3.00
La: 0.1665 0.3338 0.3329  6 P 2.99-3.00
Ce: 0.5000 0.5000 0.0000  6 P 2.89-2.94
Ce: 0.8327 0.1664 0.6654  6 P 2.89-2.93
Ce: 0.1673 0.8336 0.3346  6 P 2.89-2.93
Th: 0.5000 0.0000 0.0000  6 P 2.94
P: 0.3335 0.9248 0.6669  3 Ce 2.90-2.93, 1 Th 2.94, 2 La 2.99
P: 0.6639 0.5911 0.3277  3 Ce 2.89, 3 La 2.99-3.00
P: 0.6665 0.0752 0.3331  3 Ce 2.90-2.93, 1 Th 2.94, 2 La 2.99
P: 0.9971 0.2488 0.9943  3 Ce 2.90-2.94, 2 Th 2.94, 1 La 2.99
P: 0.0029 0.7512 0.0057  3 Ce 2.90-2.94, 2 Th 2.94, 1 La 2.99
P: 0.3361 0.4089 0.6723  3 Ce 2.89, 3 La 2.99-3.00

## La4Ce3ThP8 (PBE)

Data for a relaxed structure of La4Ce3ThP8.

ΔH_f (0 K): -1553.1 meV per atom
total DFT energy (no corrections): -113.1 eV per formula unit
calculated density: 5.81 Mg/m³
SG: R-3m, No. 166
total magnetization: 1.72 μB per cell

Lattice parameters (Å, degrees): 8.3698 8.3861 8.3698 119.94 120.00 90.00
Closest atoms and distances in Å follow each position.
Atoms (fractional coordinates):
La: 0.5000 0.0000 0.0000  6 P 3.00
La: 0.5000 0.0000 0.5000  6 P 3.01
La: 0.0000 0.0000 0.0000  6 P 3.01
La: 0.0000 0.0000 0.5000  6 P 3.01
Ce: 0.5000 0.5000 0.0000  6 P 2.91
Ce: 0.5000 0.5000 0.5000  6 P 2.91
Ce: 0.0000 0.5000 0.5000  6 P 2.91
Th: 0.0000 0.5000 0.0000  6 P 2.92
P: 0.2465 0.7383 0.9918  2 Ce 2.91, 1 Th 2.92, 3 La 3.00-3.01
P: 0.2465 0.7383 0.4930  2 Ce 2.91, 1 Th 2.92, 3 La 3.00-3.01
P: 0.2541 0.2624 0.5083  3 Ce 2.91, 3 La 3.01
P: 0.7453 0.7383 0.9918  2 Ce 2.91, 1 Th 2.92, 3 La 3.00-3.01
P: 0.2547 0.2617 0.0082  2 Ce 2.91, 1 Th 2.92, 3 La 3.00-3.01
P: 0.7459 0.7376 0.4917  3 Ce 2.91, 3 La 3.01
P: 0.7535 0.2617 0.5070  2 Ce 2.91, 1 Th 2.92, 3 La 3.00-3.01
P: 0.7535 0.2617 0.0082  2 Ce 2.91, 1 Th 2.92, 3 La 3.00-3.01

## La3CeTh2P6 (PBE)

Data for a relaxed structure of La3CeTh2P6.

ΔH_f (0 K): -1576.7 meV per atom
total DFT energy (no corrections): -86.9 eV per formula unit
calculated density: 6.38 Mg/m³
SG: C2/m, No. 12
total magnetization: 0.72 μB per cell

Lattice parameters (Å, degrees): 7.2669 7.2669 7.2837 99.57 99.57 120.00
Closest atoms and distances in Å follow each position.
Atoms (fractional coordinates):
La: 0.1664 0.8336 0.5000  6 P 3.01-3.02
La: 0.8336 0.1664 0.5000  6 P 3.01-3.02
La: 0.5000 0.5000 0.5000  6 P 3.01-3.02
Ce: 0.0000 0.0000 0.0000  6 P 2.92
Th: 0.3334 0.6666 0.0000  6 P 2.93
Th: 0.6666 0.3334 0.0000  6 P 2.93
P: 0.9202 0.5876 0.7606  1 Ce 2.92, 2 Th 2.93, 3 La 3.01-3.02
P: 0.7470 0.7470 0.2390  1 Ce 2.92, 2 Th 2.93, 3 La 3.01-3.02
P: 0.0798 0.4124 0.2394  1 Ce 2.92, 2 Th 2.93, 3 La 3.01-3.02
P: 0.5876 0.9202 0.7606  1 Ce 2.92, 2 Th 2.93, 3 La 3.01-3.02
P: 0.2530 0.2530 0.7610  1 Ce 2.92, 2 Th 2.93, 3 La 3.01-3.02
P: 0.4124 0.0798 0.2394  1 Ce 2.92, 2 Th 2.93, 3 La 3.01-3.02

## La3Ce2TmP6 (PBE)

Data for a relaxed structure of La3Ce2TmP6.

ΔH_f (0 K): -1546.3 meV per atom
total DFT energy (no corrections): -82.1 eV per formula unit
calculated density: 5.74 Mg/m³
SG: C2/m, No. 12
total magnetization: 0.90 μB per cell

Lattice parameters (Å, degrees): 7.1861 7.1861 7.2152 99.56 99.56 120.00
Closest atoms and distances in Å follow each position.
Atoms (fractional coordinates):
La: 0.1670 0.8330 0.5000  6 P 2.99-3.01
La: 0.8330 0.1670 0.5000  6 P 2.99-3.01
La: 0.5000 0.5000 0.5000  6 P 2.99-3.01
Ce: 0.3335 0.6665 0.0000  6 P 2.89
Ce: 0.6665 0.3335 0.0000  6 P 2.89
Tm: 0.0000 0.0000 0.0000  6 P 2.86-2.87
P: 0.9219 0.5909 0.7655  1 Tm 2.86, 2 Ce 2.89, 3 La 2.99-3.01
P: 0.7476 0.7476 0.2357  1 Tm 2.87, 2 Ce 2.89, 3 La 2.99-3.01
P: 0.0781 0.4091 0.2345  1 Tm 2.86, 2 Ce 2.89, 3 La 2.99-3.01
P: 0.5909 0.9219 0.7655  1 Tm 2.86, 2 Ce 2.89, 3 La 2.99-3.01
P: 0.2524 0.2524 0.7643  1 Tm 2.87, 2 Ce 2.89, 3 La 2.99-3.01
P: 0.4091 0.0781 0.2345  1 Tm 2.86, 2 Ce 2.89, 3 La 2.99-3.01

## La4Ce3TmP8 (PBE)

Data for a relaxed structure of La4Ce3TmP8.

ΔH_f (0 K): -1542.4 meV per atom
total DFT energy (no corrections): -109.9 eV per formula unit
calculated density: 5.67 Mg/m³
SG: R-3m, No. 166
total magnetization: 1.48 μB per cell

Lattice parameters (Å, degrees): 8.3118 8.3357 8.3122 119.91 120.00 90.00
Closest atoms and distances in Å follow each position.
Atoms (fractional coordinates):
La: 0.5000 0.0000 0.0000  6 P 3.02
La: 0.5000 0.0000 0.5000  6 P 2.99-3.00
La: 0.0000 0.0000 0.0000  6 P 2.99-3.00
La: 0.0000 0.0000 0.5000  6 P 2.99-3.00
Ce: 0.5000 0.5000 0.0000  6 P 2.89
Ce: 0.5000 0.5000 0.5000  6 P 2.89
Ce: 0.0000 0.5000 0.5000  6 P 2.89
Tm: 0.0000 0.5000 0.0000  6 P 2.87
P: 0.2438 0.7350 0.9912  1 Tm 2.87, 2 Ce 2.89, 3 La 3.00-3.02
P: 0.2438 0.7350 0.4877  1 Tm 2.87, 2 Ce 2.89, 3 La 3.00-3.02
P: 0.2543 0.2629 0.5086  3 Ce 2.89, 3 La 2.99
P: 0.7474 0.7350 0.9912  1 Tm 2.87, 2 Ce 2.89, 3 La 3.00-3.02
P: 0.2526 0.2650 0.0088  1 Tm 2.87, 2 Ce 2.89, 3 La 3.00-3.02
P: 0.7457 0.7371 0.4914  3 Ce 2.89, 3 La 2.99
P: 0.7562 0.2650 0.5123  1 Tm 2.87, 2 Ce 2.89, 3 La 3.00-3.02
P: 0.7562 0.2650 0.0088  1 Tm 2.87, 2 Ce 2.89, 3 La 3.00-3.02

## LaCe3Tm2P6 (PBE)

Data for a relaxed structure of LaCe3Tm2P6.

ΔH_f (0 K): -1529.8 meV per atom
total DFT energy (no corrections): -82.5 eV per formula unit
calculated density: 6.27 Mg/m³
SG: C2/m, No. 12
total magnetization: 1.56 μB per cell

Lattice parameters (Å, degrees): 7.0637 7.0637 7.0452 99.64 99.64 120.01
Closest atoms and distances in Å follow each position.
Atoms (fractional coordinates):
La: 0.0000 0.0000 0.0000  6 P 2.93-2.94
Ce: 0.1646 0.8354 0.5000  6 P 2.84-2.91
Ce: 0.8354 0.1646 0.5000  6 P 2.84-2.91
Ce: 0.5000 0.5000 0.5000  6 P 2.83-2.91
Tm: 0.3326 0.6674 0.0000  6 P 2.85
Tm: 0.6674 0.3326 0.0000  6 P 2.85
P: 0.9165 0.5729 0.7500  3 Ce 2.84-2.91, 2 Tm 2.85, 1 La 2.94
P: 0.7387 0.7387 0.2477  3 Ce 2.83-2.90, 2 Tm 2.85, 1 La 2.93
P: 0.0835 0.4271 0.2500  3 Ce 2.84-2.91, 2 Tm 2.85, 1 La 2.94
P: 0.5729 0.9165 0.7500  3 Ce 2.84-2.91, 2 Tm 2.85, 1 La 2.94
P: 0.2613 0.2613 0.7523  3 Ce 2.83-2.90, 2 Tm 2.85, 1 La 2.93
P: 0.4271 0.0835 0.2500  3 Ce 2.84-2.91, 2 Tm 2.85, 1 La 2.94

## LaCeTm2P4 (PBE)

Data for a relaxed structure of LaCeTm2P4.

ΔH_f (0 K): -1556.3 meV per atom
total DFT energy (no corrections): -53.9 eV per formula unit
calculated density: 6.48 Mg/m³
SG: P2/m, No. 10
total magnetization: 0.51 μB per cell

Lattice parameters (Å, degrees): 4.0675 7.0213 7.0526 70.54 90.00 90.00
Closest atoms and distances in Å follow each position.
Atoms (fractional coordinates):
La: 0.5000 0.5000 0.0000  6 P 2.94
Ce: 0.0000 0.5000 0.5000  6 P 2.89-2.90
Tm: 0.0000 0.0000 0.0000  6 P 2.85-2.86
Tm: 0.5000 0.0000 0.5000  6 P 2.80-2.81
P: 0.0000 0.7635 0.7395  3 Tm 2.81-2.86, 1 Ce 2.89, 2 La 2.94
P: 0.0000 0.2365 0.2605  3 Tm 2.81-2.86, 1 Ce 2.89, 2 La 2.94
P: 0.5000 0.7606 0.2516  3 Tm 2.80-2.85, 2 Ce 2.90, 1 La 2.94
P: 0.5000 0.2394 0.7484  3 Tm 2.80-2.85, 2 Ce 2.90, 1 La 2.94